1.
DFT (PBE) results for Mg2ZnHRh after structural relaxation.

Computed properties:
Energy above the lowest structure with this stoichiometry (eV per formula unit): 0.467
SG: No. 123

Unit cell a=4.134 b=4.134 c=3.854 alpha=90.00 beta=90.00 gamma=90.00
Atoms (fractional coordinates):
1 Mg 0.000 0.500 0.000
2 Mg 0.500 0.000 0.000
3 Zn 0.000 0.000 0.500
4 H 0.000 0.000 0.000
5 Rh 0.500 0.500 0.500

---

2.
DFT (PBE) results for Ni4Ir3W after structural relaxation.

Computed properties:
DFT total energy (eV/atom): -7.638
SG: No. 71

Unit cell a=6.573 b=6.573 c=6.573 alpha=156.80 beta=101.08 gamma=83.61
Atoms (fractional coordinates):
1 Ni 0.118 0.875 0.243
2 Ni 0.368 0.125 0.243
3 Ni 0.632 0.875 0.757
4 Ni 0.882 0.125 0.757
5 Ir 0.000 0.500 0.500
6 Ir 0.270 0.270 0.000
7 Ir 0.730 0.730 0.000
8 W 0.500 0.000 0.500

---

3.
DFT (PBE) results for HoHgPd5 after structural relaxation.

Computed properties:
DFT total energy (eV/atom): -4.589
SG: No. 44

Unit cell a=5.756 b=5.756 c=5.756 alpha=124.20 beta=106.99 gamma=98.38
Atoms (fractional coordinates):
1 Ho 0.000 0.000 0.000
2 Hg 0.352 0.852 0.500
3 Pd 0.211 0.522 0.689
4 Pd 0.340 0.340 0.000
5 Pd 0.692 0.436 0.744
6 Pd 0.692 0.948 0.256
7 Pd 0.833 0.522 0.311

---

4.
DFT (PBE) results for Ca2HgCl after structural relaxation.

Computed properties:
Energy above the lowest structure with this stoichiometry (eV per formula unit): 0.000
SG: No. 47

Unit cell a=3.661 b=3.915 c=8.140 alpha=90.00 beta=90.00 gamma=90.00
Atoms (fractional coordinates):
1 Ca 0.000 0.000 0.227
2 Ca 0.000 0.000 0.773
3 Hg 0.500 0.500 0.000
4 Cl 0.500 0.000 0.500

---

5.
DFT (PBE) results for YAlCu after structural relaxation.

Computed properties:
DFT total energy (eV/atom): -4.799
SG: No. 44

Unit cell a=5.051 b=5.051 c=5.051 alpha=143.07 beta=128.01 gamma=65.47
Atoms (fractional coordinates):
1 Y 0.000 0.000 0.000
2 Al 0.658 0.658 0.000
3 Cu 0.337 0.337 0.000

---

6.
DFT (PBE) results for BaLa2W after structural relaxation.

Computed properties:
Energy above the lowest structure with this stoichiometry (eV per formula unit): 0.705
SG: No. 71

Unit cell a=7.055 b=7.055 c=7.055 alpha=150.59 beta=124.85 gamma=63.73
Atoms (fractional coordinates):
1 Ba 0.000 0.000 0.000
2 La 0.311 0.811 0.500
3 La 0.689 0.189 0.500
4 W 0.500 0.500 0.000

---

7.
DFT (PBE) results for ZnFe8Co2 after structural relaxation.

Computed properties:
DFT total energy (eV/atom): -7.556
SG: No. 12

Unit cell a=7.462 b=7.462 c=6.406 alpha=105.33 beta=105.33 gamma=22.12
Atoms (fractional coordinates):
1 Zn 0.000 0.000 0.000
2 Fe 0.092 0.092 0.451
3 Fe 0.182 0.182 0.906
4 Fe 0.359 0.359 0.814
5 Fe 0.454 0.454 0.280
6 Fe 0.546 0.546 0.720
7 Fe 0.641 0.641 0.186
8 Fe 0.818 0.818 0.094
9 Fe 0.908 0.908 0.549
10 Co 0.273 0.273 0.364
11 Co 0.727 0.727 0.636

---

8.
DFT (PBE) results for NpTiCu after structural relaxation.

Computed properties:
DFT total energy (eV/atom): -8.208
SG: No. 63

Unit cell a=10.471 b=10.471 c=3.439 alpha=90.00 beta=90.00 gamma=164.39
Atoms (fractional coordinates):
1 Np 0.040 0.960 0.750
2 Np 0.960 0.040 0.250
3 Ti 0.208 0.792 0.750
4 Ti 0.792 0.208 0.250
5 Cu 0.359 0.641 0.750
6 Cu 0.641 0.359 0.250